First-principles (PBE) data for crystalline InRh2Br at its relaxed geometry, as listed in the Alexandria database.

It has space group F-43m (No. 216), with a = 6.6494 Å, b = 6.6494 Å, c = 6.6494 Å, α = 90.00°, β = 90.00° and γ = 90.00°. The distinct sites, in fractional coordinates, are In at (0.0000, 0.0000, 0.0000), Rh at (0.0000, 0.0000, 0.5000), Rh at (0.2500, 0.2500, 0.2500) and Br at (0.2500, 0.2500, 0.7500).

The calculation puts the density of states at the Fermi level at 1.190 states/eV/atom. Its raw formation energy is 0.4832 eV per atom. The energy above the most stable polymorph in this dataset is 472.6 meV per atom. As for the total moment: 5.32 μB per cell. For the theoretical density, the calculation gives 9.0 Mg/m³. As for the total energy: -68.7 eV for the cell shown.



First-principles (PBE) data for crystalline ZrAgAs2 at its relaxed geometry, as listed in the Alexandria database.

It has space group Fm-3m (No. 225), with a = 6.7511 Å, b = 6.7511 Å, c = 6.7511 Å, α = 90.00°, β = 90.00° and γ = 90.00°. The distinct sites, in fractional coordinates, are Zr at (0.0000, 0.0000, 0.0000), Ag at (0.0000, 0.0000, 0.5000) and As at (0.2500, 0.2500, 0.2500).

The calculation puts the density of states at the Fermi level at 0.604 states/eV/atom. Its formation energy is -0.2267 eV/atom. As for the total moment: 0.00 μB per cell. For the theoretical density, the calculation gives 7.5 Mg/m³. As for the total energy: -86.4 eV for the cell shown.



First-principles (PBE) data for crystalline ScTi2Ni at its relaxed geometry, as listed in the Alexandria database.

It has space group Fm-3m (No. 225), with a = 6.3677 Å, b = 6.3677 Å, c = 6.3677 Å, α = 90.00°, β = 90.00° and γ = 90.00°. The distinct sites, in fractional coordinates, are Sc at (0.0000, 0.0000, 0.0000), Ti at (0.2500, 0.2500, 0.2500) and Ni at (0.0000, 0.0000, 0.5000).

The calculation puts the density of states at the Fermi level at 1.679 states/eV/atom. Its formation energy is 0.0972 eV/atom. The energy above the most stable polymorph in this dataset is 169.7 meV per atom. As for the total moment: 0.00 μB per cell. For the theoretical density, the calculation gives 5.1 Mg/m³. As for the total energy: -110.1 eV for the cell shown.



Repeat the second record exactly.
First-principles (PBE) data for crystalline ZrAgAs2 at its relaxed geometry, as listed in the Alexandria database.

It has space group Fm-3m (No. 225), with a = 6.7511 Å, b = 6.7511 Å, c = 6.7511 Å, α = 90.00°, β = 90.00° and γ = 90.00°. The distinct sites, in fractional coordinates, are Zr at (0.0000, 0.0000, 0.0000), Ag at (0.0000, 0.0000, 0.5000) and As at (0.2500, 0.2500, 0.2500).

The calculation puts the density of states at the Fermi level at 0.604 states/eV/atom. Its formation energy is -0.2267 eV/atom. As for the total moment: 0.00 μB per cell. For the theoretical density, the calculation gives 7.5 Mg/m³. As for the total energy: -86.4 eV for the cell shown.